# 1
VASP calculation (PBE with a Hubbard U) on crystalline Mn3V3Te2O16 at its relaxed geometry.

a = 5.890 Å, b = 5.984 Å, c = 10.629 Å
α = 89.47°, β = 89.26°, γ = 62.31°
Sites, in units of the cell vectors:
Mn (0.000, 0.000, 0.000)
Mn (0.006, 0.502, 0.996)
Mn (0.809, 0.375, 0.510)
V (0.297, 0.836, 0.476)
V (0.362, 0.305, 0.517)
V (0.518, 0.990, 0.971)
Te (0.496, 0.516, 0.189)
Te (0.889, 0.807, 0.719)
O (0.012, 0.507, 0.608)
O (0.040, 0.976, 0.621)
O (0.125, 0.668, 0.861)
O (0.148, 0.193, 0.427)
O (0.163, 0.700, 0.388)
O (0.170, 0.174, 0.919)
O (0.329, 0.838, 0.097)
O (0.352, 0.337, 0.101)
O (0.467, 0.058, 0.614)
O (0.469, 0.533, 0.592)
O (0.593, 0.728, 0.406)
O (0.613, 0.731, 0.882)
O (0.629, 0.226, 0.415)
O (0.683, 0.132, 0.890)
O (0.821, 0.359, 0.100)
O (0.826, 0.830, 0.078)

* space group: P1
* electronic total energy: -6.899 eV per atom

---

# 2
VASP calculation (PBE with a Hubbard U) on crystalline Mn2GaO3 at its relaxed geometry.

a = 5.595 Å, b = 5.595 Å, c = 6.443 Å
α = 106.78°, β = 106.78°, γ = 47.44°
Sites, in units of the cell vectors:
Mn (0.166, 0.166, 0.083)
Mn (0.166, 0.166, 0.583)
Mn (0.834, 0.834, 0.417)
Mn (0.834, 0.834, 0.917)
Ga (0.496, 0.504, 0.750)
Ga (0.504, 0.496, 0.250)
O (0.045, 0.955, 0.750)
O (0.326, 0.327, 0.913)
O (0.327, 0.326, 0.413)
O (0.673, 0.674, 0.587)
O (0.674, 0.673, 0.087)
O (0.955, 0.045, 0.250)

* N(E_F): 0.127 states/eV/atom
* space group: C2/c
* electronic total energy: -6.845 eV per atom